A plane-wave DFT calculation with SCAN was carried out for Eu2SiN3 at its PBEsol-relaxed geometry.

As for the total energy: -25.647 eV per atom. The magnetic moment is 104.0 Bohr magnetons per cell. For the formation energy without anion corrections, the calculation gives -1428.7 meV per atom. The calculation puts the density of states at the Fermi level at 1.385 states/eV per atom.

The structure belongs to space group Cmce (No. 64); the cell edges are 5.385, 10.534 and 11.550 Å and the angles 90.00°, 90.00° and 90.00°. The distinct sites, in fractional coordinates, are Eu at (0.000, 0.052, 0.144), Eu at (0.000, 0.141, 0.576), Si at (0.000, 0.243, 0.336), N at (0.000, 0.080, 0.366), N at (0.000, 0.157, 0.957) and N at (0.250, 0.218, 0.750).